Density functional theory data (PBE-GGA) for a relaxed structure of LaMn3Re.

Unit cell a=4.7331 b=4.7331 c=4.7331 alpha=90.00 beta=90.00 gamma=90.00
Last column: magnetic moment on the atom in μB.
Element x y z (fractional)
1 Re 0.0000 0.0000 0.0000  -0.55
2 Mn 0.0000 0.5000 0.0000  3.06
3 Mn 0.0000 0.0000 0.5000  2.87
4 Mn 0.5000 0.0000 0.0000  3.11
5 La 0.5000 0.5000 0.5000  -0.14

Calculated values
* offset from the most stable computed form: 0 meV/atom
* DFT formation energy: 0.665 eV per atom
* magnetic moment: 8.5 μB/f.u.
* theoretical density: 7.7 g/cm3
* total energy: -8.311 eV/atom